PPbAu2 | PBE-GGA | relaxed

Properties
**Space-group type**: P2/m, No. 10
**DFT formation energy**: 93 kJ/mol of formula units
**Total magnetization**: 0.0 μB/f.u.
**Total energy**: -14.71 eV for the cell shown
**ΔE to the lowest computed polymorph**: 238 meV per atom
**DOS at the Fermi energy**: 0.67 states/eV/atom

Unit cell a=4.013 b=4.011 c=5.553 alpha=89.43 beta=90.00 gamma=90.00
Sites, in units of the cell vectors:
Au 0.000 0.000 0.000
Au 0.500 0.500 0.000
P 0.500 0.500 0.500
Pb 0.000 0.000 0.500

=====

SrAlCd2 | PBE-GGA | relaxed

Properties
**Space-group type**: F-43m, No. 216
**DFT formation energy**: -40 kJ/mol of formula units
**Total magnetization**: 0.0 μB/f.u.
**Total energy**: -7.67 eV for the cell shown
**DOS at the Fermi energy**: 0.48 states/eV/atom

Unit cell a=5.224 b=5.224 c=5.224 alpha=120.04 beta=120.03 gamma=89.93
Sites, in units of the cell vectors:
Sr 0.500 0.500 0.000
Al 0.250 0.750 0.500
Cd 0.000 0.000 0.000
Cd 0.750 0.250 0.500

=====

TbPmI | PBE-GGA | relaxed

Properties
**Space-group type**: I4mm, No. 107
**E_form (uncorrected)**: -0.442 eV per atom
**Total magnetization**: 0.0 μB/f.u.
**Total energy**: -12.26 eV for the cell shown
**ΔE to the lowest computed polymorph**: 94 meV per atom
**DOS at the Fermi energy**: 1.27 states/eV/atom

Unit cell a=3.720 b=3.720 c=7.546 alpha=104.27 beta=104.27 gamma=90.00
Sites, in units of the cell vectors:
I 0.331 0.331 0.661
Tb 0.671 0.671 0.342
Pm 0.999 0.999 0.997

=====

> The lowest total energy belongs to which entry?

PPbAu2